A plane-wave DFT calculation with PBE was carried out for crystalline SrCrHgTe2 at its relaxed geometry.

- crystal system = tetragonal
- SG = P4/mmm, No. 123
- total energy (eV per atom) = -3.53
- uncorrected formation energy (eV/atom) = 0.048

a = 5.8436 Å, b = 5.0689 Å, c = 5.8436 Å
α = 90.00°, β = 90.00°, γ = 90.00°
Closest atoms and distances in Å follow each position.
Atoms (fractional coordinates):
Cr  0.0000  0.5000  0.0000  2 Hg 2.53
Hg  0.0000  0.0000  0.0000  2 Cr 2.53
Te  0.0000  0.0000  0.5000  2 Hg 2.92
Te  0.5000  0.0000  0.0000  2 Hg 2.92
Sr  0.5000  0.5000  0.5000  8 Te 3.87, 4 Cr 4.13